Below is LaZrPt3 after structural relaxation, with properties calculated at the PBE-GGA level.

## Properties
The calculation puts the formation energy at 692 meV per atom.

a b c (Å): 5.137 5.137 5.137
angles (deg): 90.00 90.00 90.00
Space group Pm-3m (No. 221)
One atom of each set of equivalent atoms:
La 0.000 0.000 0.000 x1
Zr 0.500 0.500 0.500 x1
Pt 0.000 0.000 0.500 x3



Below is La2ZrPt after structural relaxation, with properties calculated at the PBE-GGA level.

## Properties
The calculation puts the formation energy at -176 meV per atom.

a b c (Å): 8.468 8.468 6.256
angles (deg): 90.00 90.00 90.00
Space group I-42d (No. 122)
One atom of each set of equivalent atoms:
La 0.206 0.250 0.125 x8
Zr 0.000 0.000 0.500 x4
Pt 0.000 0.000 0.000 x4



Below is La2Zr2Pt after structural relaxation, with properties calculated at the PBE-GGA level.

## Properties
The calculation puts the formation energy at 165 meV per atom.

a b c (Å): 7.351 7.351 5.257
angles (deg): 90.00 90.00 90.00
Space group P4/mbm (No. 127)
One atom of each set of equivalent atoms:
La 0.154 0.346 0.000 x4
Zr 0.148 0.648 0.500 x4
Pt 0.000 0.000 0.000 x2



Below is La2Zr2Pt after structural relaxation, with properties calculated at the PBE-GGA level.

## Properties
The calculation puts the formation energy at -41 meV per atom.

a b c (Å): 3.897 3.897 18.949
angles (deg): 90.00 90.00 90.00
Space group I4/mmm (No. 139)
One atom of each set of equivalent atoms:
La 0.000 0.000 0.084 x4
Zr 0.000 0.500 0.250 x4
Pt 0.000 0.000 0.500 x2



For the records above, the corresponding excess energy over the best structure of this formula in the dataset values read 1099; 293; 427; 221 meV/atom.
For the records above, the corresponding spin magnetization values read 0.00; 0.00; 0.00; 0.00 Bohr magnetons per cell.